No. 1
This record from the Alexandria database describes a relaxed structure of LiCu3Ge. The functional is PBE.

```
LiCu3Ge
1.0
4.267 0.000 0.000
0.000 4.198 0.000
-2.097 0.000 7.080
Li Cu Ge
2 6 2
direct
0.184 0.250 0.297 Li
0.816 0.750 0.703 Li
0.011 0.750 0.099 Cu
0.212 0.750 0.502 Cu
0.410 0.750 0.903 Cu
0.590 0.250 0.097 Cu
0.788 0.250 0.498 Cu
0.989 0.250 0.901 Cu
0.385 0.250 0.705 Ge
0.615 0.750 0.295 Ge
```

Properties
For the energy relative to the elements, the calculation gives -125 meV/atom. The calculation puts the energy relative to the lowest polymorph listed for this composition at 0.0000 eV per atom. Its total energy is -3.889 eV/atom.

---

No. 2
This record from the Alexandria database describes a relaxed structure of Al2SbPb. The functional is PBE.

```
Al2SbPb
1.0
3.195 0.000 0.000
0.000 3.195 0.000
0.000 0.000 9.328
Al Sb Pb
2 1 1
direct
0.000 0.000 0.000 Al
0.500 0.500 0.184 Al
0.500 0.500 0.763 Sb
0.000 0.000 0.436 Pb
```

Properties
The uncorrected formation energy comes out at 0.18 eV/atom. The calculation puts the energy relative to the lowest polymorph listed for this composition at 0.0524 eV per atom. Its total energy is -3.650 eV/atom.

---

No. 3
This record from the Alexandria database describes a relaxed structure of NaGaSnCl6. The functional is PBE.

```
NaGaSnCl6
1.0
6.710 0.000 0.000
-3.355 5.811 0.000
0.000 0.000 6.063
Na Ga Sn Cl
1 1 1 6
direct
0.000 0.000 0.000 Na
0.333 0.667 0.000 Ga
0.667 0.333 0.500 Sn
0.040 0.373 0.230 Cl
0.040 0.668 0.770 Cl
0.332 0.373 0.770 Cl
0.332 0.960 0.230 Cl
0.627 0.668 0.230 Cl
0.627 0.960 0.770 Cl
```

Properties
The uncorrected formation energy comes out at -1.16 eV/atom. Its total energy is -3.322 eV/atom.

---

No. 4
This record from the Alexandria database describes a relaxed structure of InAg3C6N6. The functional is PBE.

```
InAg3C6N6
1.0
7.873 0.000 0.000
-3.937 6.819 0.000
0.000 0.000 7.691
In Ag C N
1 3 6 6
direct
0.000 0.000 0.000 In
0.000 0.500 0.500 Ag
0.500 0.000 0.500 Ag
0.500 0.500 0.500 Ag
0.000 0.235 0.816 C
0.000 0.765 0.184 C
0.235 0.000 0.816 C
0.235 0.235 0.184 C
0.765 0.000 0.184 C
0.765 0.765 0.816 C
0.000 0.337 0.706 N
0.000 0.663 0.294 N
0.337 0.000 0.706 N
0.337 0.337 0.294 N
0.663 0.000 0.294 N
0.663 0.663 0.706 N
```

Properties
The uncorrected formation energy comes out at 0.52 eV/atom. Its total energy is -6.766 eV/atom.